Density functional theory data (PBE) for PrDy3Tl4 after structural relaxation.

crystal system: orthorhombic
energy of formation: -218 meV per atom
energy above the lowest structure with this stoichiometry: 134 meV/atom

Unit cell a=3.5203 b=7.2910 c=18.7160 alpha=90.00 beta=90.00 gamma=90.00
Space group Immm (No. 71)
Asymmetric unit:
Pr: 0.0000 0.0000 0.0000 x2
Dy: 0.0000 0.0000 0.5000 x2
Dy: 0.0000 0.5000 0.2808 x4
Tl: 0.0000 0.2877 0.1291 x8